A relaxed structure of KNbNi2Br, computed with PBE.

## Properties
E_form (uncorrected) = 2.178 eV/atom
Volume = 128 Å³ per cell
Magnetization = 0.691 μB/atom

a b c (Å): 4.517 4.517 6.249
angles (deg): 90.00 90.00 90.00
Space group P4/mmm (No. 123)
Inequivalent atoms, fractional coordinates:
K (0.000, 0.000, 0.000)
Nb (0.000, 0.000, 0.500)
Ni (0.000, 0.500, 0.000)
Br (0.500, 0.500, 0.500)



A relaxed structure of Pr3Ga2Ge3, computed with PBE.

## Properties
Volume = 747 Å³ per cell
E_form = -665 meV/atom
Magnetization = 0.000 μB/atom

a b c (Å): 4.287 11.445 15.233
angles (deg): 90.00 90.00 90.00
Space group Cmcm (No. 63)
Inequivalent atoms, fractional coordinates:
Pr (0.000, 0.062, 0.112)
Pr (0.000, 0.347, 0.250)
Ga (0.000, 0.224, 0.607)
Ge (0.000, 0.374, 0.750)
Ge (0.000, 0.377, 0.039)